(1)
Below is a geometry-optimized YMnAg structure, with properties calculated at the PBEsol level.

The space group is P-6m2 (No. 187) and the conventional cell measures 4.5249, 4.5249 and 3.4713 Å, with angles of 90.00, 90.00 and 120.00 degrees. Symmetry generates all atoms from Y at (0.0000, 0.0000, 0.0000), Mn at (0.6667, 0.3333, 0.5000) and Ag at (0.3333, 0.6667, 0.5000).

As for the mass density: 6.791 g cm⁻³. The electronic total energy is -6.47 eV per atom. The formation energy is 0.1606 eV per atom.

---

(2)
Below is a geometry-optimized YMnAg structure, with properties calculated at the PBEsol level.

The space group is I4mm (No. 107) and the conventional cell measures 3.4541, 3.4541 and 9.9078 Å, with angles of 90.00, 90.00 and 90.00 degrees. Symmetry generates all atoms from Y at (0.0000, 0.0000, 0.0000), Mn at (0.0000, 0.0000, 0.6784) and Ag at (0.0000, 0.0000, 0.3119).

As for the mass density: 7.072 g cm⁻³. The electronic total energy is -6.47 eV per atom. The formation energy is 0.1572 eV per atom.

---

(3)
Below is a geometry-optimized MnZn4Ag structure, with properties calculated at the PBEsol level.

The space group is F-43m (No. 216) and the conventional cell measures 7.0139, 7.0139 and 7.0139 Å, with angles of 90.00, 90.00 and 90.00 degrees. Symmetry generates all atoms from Mn at (0.0000, 0.0000, 0.0000), Zn at (0.1253, 0.1253, 0.3747) and Ag at (0.2500, 0.2500, 0.7500).

As for the mass density: 8.171 g cm⁻³. The electronic total energy is -3.14 eV per atom. The formation energy is 0.0922 eV per atom.

---

(4)
Below is a geometry-optimized MnZnAg3 structure, with properties calculated at the PBEsol level.

The space group is Pm-3m (No. 221) and the conventional cell measures 4.6661, 4.6661 and 4.6661 Å, with angles of 90.00, 90.00 and 90.00 degrees. Symmetry generates all atoms from Mn at (0.0000, 0.0000, 0.0000), Zn at (0.5000, 0.5000, 0.5000) and Ag at (0.0000, 0.5000, 0.5000).

As for the mass density: 7.257 g cm⁻³. The electronic total energy is -3.41 eV per atom. The formation energy is 0.8421 eV per atom.

---

(5)
Below is a geometry-optimized Zr2MnAg structure, with properties calculated at the PBEsol level.

The space group is Pm (No. 6) and the conventional cell measures 3.0924, 4.5939 and 5.1038 Å, with angles of 90.00, 96.63 and 90.00 degrees. Symmetry generates all atoms from Zr at (0.0000, 0.0000, 0.0000), Zr at (0.1573, 0.5000, 0.5850), Mn at (0.6050, 0.0000, 0.4736) and Ag at (0.5541, 0.5000, 0.1207).

As for the mass density: 7.960 g cm⁻³. The electronic total energy is -7.73 eV per atom. The formation energy is 0.0877 eV per atom.

---

(6)
Below is a geometry-optimized Zr2MnAg structure, with properties calculated at the PBEsol level.

The space group is P4/mmm (No. 123) and the conventional cell measures 3.1016, 3.1016 and 7.2690 Å, with angles of 90.00, 90.00 and 90.00 degrees. Symmetry generates all atoms from Zr at (0.0000, 0.0000, 0.2130), Mn at (0.5000, 0.5000, 0.0000) and Ag at (0.5000, 0.5000, 0.5000).

As for the mass density: 8.198 g cm⁻³. The electronic total energy is -7.91 eV per atom. The formation energy is -0.0943 eV per atom.

---

(7)
Below is a geometry-optimized ZrMnAg2 structure, with properties calculated at the PBEsol level.

The space group is I-4m2 (No. 119) and the conventional cell measures 4.0354, 4.0354 and 8.1989 Å, with angles of 90.00, 90.00 and 90.00 degrees. Symmetry generates all atoms from Zr at (0.0000, 0.0000, 0.0000), Mn at (0.0000, 0.5000, 0.7500), Ag at (0.0000, 0.0000, 0.5000) and Ag at (0.0000, 0.5000, 0.2500).

As for the mass density: 9.002 g cm⁻³. The electronic total energy is -6.19 eV per atom. The formation energy is 0.1806 eV per atom.

---

(8)
Below is a geometry-optimized Zr4MnAg structure, with properties calculated at the PBEsol level.

The space group is F-43m (No. 216) and the conventional cell measures 7.8957, 7.8957 and 7.8957 Å, with angles of 90.00, 90.00 and 90.00 degrees. Symmetry generates all atoms from Zr at (0.1240, 0.1240, 0.1240), Mn at (0.2500, 0.2500, 0.7500) and Ag at (0.0000, 0.0000, 0.5000).

As for the mass density: 7.121 g cm⁻³. The electronic total energy is -7.69 eV per atom. The formation energy is 0.5512 eV per atom.